Entry 1:
A relaxed structure of TaTi2ReH, computed with PBE.

Lattice parameters (Å, degrees): 3.842 3.842 4.614 90.00 90.00 90.00
Positions (direct):
Ti 0.500 0.000 0.000
H 0.000 0.000 0.000
Re 0.500 0.500 0.500
Ti 0.000 0.500 0.000
Ta 0.000 0.000 0.500

## Properties
Its total energy is -8.81 eV per atom. The magnetization is 0.00 μB per cell.

Entry 2:
A relaxed structure of KTeCl, computed with PBE.

Lattice parameters (Å, degrees): 5.512 5.512 5.512 60.00 60.00 60.00
Positions (direct):
K 0.000 0.000 0.000
Te 0.500 0.500 0.500
Cl 0.750 0.750 0.750

## Properties
As for the energy above the most stable polymorph in this dataset: 0.7082 eV per atom. The magnetization is 2.00 μB per cell.

Entry 3:
A relaxed structure of RbCaAsF6, computed with PBE.

Lattice parameters (Å, degrees): 5.935 5.935 5.858 90.06 89.94 59.82
Positions (direct):
F 0.367 0.609 0.303
Ca 0.666 0.666 0.500
F 0.365 0.027 0.695
F 0.609 0.024 0.304
Rb 0.000 0.000 0.000
F 0.024 0.609 0.696
F 0.609 0.367 0.697
As 0.333 0.333 0.500
F 0.027 0.365 0.305

## Properties
Its total energy is -4.94 eV per atom. The magnetization is 0.00 μB per cell.

Entry 4:
A relaxed structure of ZrNb2V2, computed with PBE.

Lattice parameters (Å, degrees): 7.360 7.360 3.302 90.00 90.00 90.00
Positions (direct):
V 0.633 0.133 0.000
Nb 0.846 0.346 0.500
Nb 0.346 0.154 0.500
Zr 0.000 0.000 0.000
Nb 0.154 0.654 0.500
V 0.867 0.633 0.000
Zr 0.500 0.500 0.000
Nb 0.654 0.846 0.500
V 0.133 0.367 0.000
V 0.367 0.867 0.000

## Properties
As for the calculated formation energy: 0.244 eV per atom. The magnetization is 0.24 μB per cell.

Entry 5:
A relaxed structure of PmSm2DyTe5, computed with PBE.

Lattice parameters (Å, degrees): 5.534 5.534 11.758 90.00 90.00 90.00
Positions (direct):
Pm 0.000 0.000 0.000
Te 0.000 0.500 0.500
Dy 0.000 0.000 0.500
Te 0.000 0.000 0.249
Te 0.000 0.000 0.751
Sm 0.500 0.500 0.653
Sm 0.500 0.500 0.347
Te 0.500 0.000 0.500
Te 0.500 0.500 0.000

## Properties
Its total energy is -4.61 eV per atom. The magnetization is 0.62 μB per cell.

Entry 6:
A relaxed structure of VTe3Cl, computed with PBE.

Lattice parameters (Å, degrees): 5.397 7.657 7.660 120.01 90.00 90.00
Positions (direct):
Te 0.750 0.171 0.342
Te 0.250 0.829 0.171
Cl 0.750 0.667 0.333
Te 0.750 0.658 0.829
Te 0.750 0.171 0.829
V 0.000 0.000 0.000
Cl 0.250 0.333 0.667
Te 0.250 0.829 0.658
V 0.500 0.000 0.000
Te 0.250 0.342 0.171

## Properties
As for the energy above the most stable polymorph in this dataset: 0.0000 eV per atom. The magnetization is 0.00 μB per cell.

Entry 7:
A relaxed structure of PuAlHgGe, computed with PBE.

Lattice parameters (Å, degrees): 4.962 4.962 4.962 60.00 60.00 60.00
Positions (direct):
Ge 0.000 0.000 0.000
Al 0.750 0.750 0.750
Pu 0.250 0.250 0.250
Hg 0.500 0.500 0.500

## Properties
As for the calculated formation energy: -0.100 eV per atom. The magnetization is 5.37 μB per cell.

Entry 8:
A relaxed structure of NdThC, computed with PBE.

Lattice parameters (Å, degrees): 3.973 6.776 7.316 62.84 74.25 72.95
Positions (direct):
Nd 0.400 0.436 0.765
Th 0.145 0.995 0.714
C 0.365 0.806 0.464
C 0.635 0.194 0.536
Nd 0.600 0.564 0.235
Th 0.855 0.005 0.286

## Properties
As for the energy above the most stable polymorph in this dataset: 0.2115 eV per atom. As for the calculated formation energy: 0.026 eV per atom. The magnetization is 0.00 μB per cell.